{
  "formula": "CrSbI2O",
  "functional": "PBE+U",
  "state": "optimized geometry",
  "crystal_system": "tetragonal",
  "total_energy_ev_per_atom": -4.235,
  "space_group": "P4/mmm, No. 123",
  "cell": [[5.903, 0.000, 0.000], [0.000, 5.903, 0.000], [0.000, 0.000, 3.697]],
  "species": ["Cr", "Sb", "I", "I", "O"],
  "frac_coords": [[0.000, 0.000, 0.000], [0.500, 0.500, 0.500], [0.000, 0.500, 0.000], [0.500, 0.000, 0.000], [0.000, 0.000, 0.500]]
}